Record 1
Al2SnBi after structural relaxation. Source: Alexandria via LeMat-Bulk, functional PBE.

Cell lengths 7.266, 7.266, 7.266 Å; angles 90.00, 90.00, 90.00 degrees
Fractional positions:
1 Al 0.250 0.250 0.250
2 Al 0.250 0.250 0.750
3 Al 0.250 0.750 0.250
4 Al 0.250 0.750 0.750
5 Al 0.750 0.250 0.250
6 Al 0.750 0.250 0.750
7 Al 0.750 0.750 0.250
8 Al 0.750 0.750 0.750
9 Sn 0.000 0.000 0.000
10 Sn 0.000 0.500 0.500
11 Sn 0.500 0.000 0.500
12 Sn 0.500 0.500 0.000
13 Bi 0.000 0.000 0.500
14 Bi 0.000 0.500 0.000
15 Bi 0.500 0.000 0.000
16 Bi 0.500 0.500 0.500

***

Record 2
Al2SnBi2 after structural relaxation. Source: Alexandria via LeMat-Bulk, functional PBE.

Cell lengths 3.943, 3.943, 17.157 Å; angles 90.00, 90.00, 90.00 degrees
Fractional positions:
1 Al 0.000 0.500 0.250
2 Al 0.000 0.500 0.750
3 Al 0.500 0.000 0.250
4 Al 0.500 0.000 0.750
5 Sn 0.000 0.000 0.000
6 Sn 0.500 0.500 0.500
7 Bi 0.000 0.000 0.391
8 Bi 0.000 0.000 0.609
9 Bi 0.500 0.500 0.109
10 Bi 0.500 0.500 0.891

***

Record 3
AlSnBi3 after structural relaxation. Source: Alexandria via LeMat-Bulk, functional PBE.

Cell lengths 5.483, 5.483, 5.483 Å; angles 90.00, 90.00, 90.00 degrees
Fractional positions:
1 Al 0.000 0.000 0.000
2 Sn 0.500 0.500 0.500
3 Bi 0.000 0.000 0.500
4 Bi 0.000 0.500 0.000
5 Bi 0.500 0.000 0.000

***

Record 4
Al2SnBi2 after structural relaxation. Source: Alexandria via LeMat-Bulk, functional PBE.

Cell lengths 9.048, 9.048, 3.345 Å; angles 90.00, 90.00, 90.00 degrees
Fractional positions:
1 Al 0.108 0.392 0.000
2 Al 0.392 0.892 0.000
3 Al 0.608 0.108 0.000
4 Al 0.892 0.608 0.000
5 Sn 0.000 0.000 0.500
6 Sn 0.500 0.500 0.500
7 Bi 0.188 0.688 0.500
8 Bi 0.312 0.188 0.500
9 Bi 0.688 0.812 0.500
10 Bi 0.812 0.312 0.500

***

Record 5
AlSnBi2 after structural relaxation. Source: Alexandria via LeMat-Bulk, functional PBE.

Cell lengths 4.213, 4.213, 23.061 Å; angles 90.00, 90.00, 120.00 degrees
Fractional positions:
1 Al 0.000 0.000 0.000
2 Al 0.333 0.667 0.667
3 Al 0.667 0.333 0.333
4 Sn 0.000 0.000 0.166
5 Sn 0.333 0.667 0.833
6 Sn 0.667 0.333 0.499
7 Bi 0.000 0.000 0.407
8 Bi 0.000 0.000 0.594
9 Bi 0.333 0.667 0.074
10 Bi 0.333 0.667 0.261
11 Bi 0.667 0.333 0.741
12 Bi 0.667 0.333 0.928

***

Record 6
AlSnBi after structural relaxation. Source: Alexandria via LeMat-Bulk, functional PBE.

Cell lengths 3.568, 3.568, 12.265 Å; angles 90.00, 90.00, 90.00 degrees
Fractional positions:
1 Al 0.000 0.000 0.000
2 Al 0.500 0.500 0.500
3 Sn 0.000 0.000 0.636
4 Sn 0.500 0.500 0.136
5 Bi 0.000 0.000 0.349
6 Bi 0.500 0.500 0.849

***

Values of ΔE_f, in order: 0.245; 0.196; 0.461; 0.252; 0.155; 0.151, all in eV/atom.